Entry 1:
# BRu3Pb

A geometry-optimized BRu3Pb structure (PBE, Alexandria via LeMat-Bulk).

abc: 4.183 4.183 4.183
angles: 90.00 90.00 90.00
Element x y z (fractional)
1 Pb 0.500 0.500 0.500
2 Ru 0.000 0.500 0.000
3 Ru 0.000 0.000 0.500
4 Ru 0.500 0.000 0.000
5 B 0.000 0.000 0.000

Results
- energy relative to the elements (eV/atom) = 0.16
- ΔE to the lowest computed polymorph (meV/atom) = 0
- symmetry = Pm-3m, No. 221
- total energy (eV/cell) = -37.41

=====

Entry 2:
# Pm8Nd6Y

A geometry-optimized Pm8Nd6Y structure (PBE, Alexandria via LeMat-Bulk).

abc: 9.298 9.298 8.851
angles: 58.32 58.32 60.00
Element x y z (fractional)
1 Pm 0.250 0.282 0.580
2 Pm 0.718 0.113 0.420
3 Pm 0.113 0.750 0.420
4 Pm 0.577 0.577 0.268
5 Pm 0.423 0.423 0.732
6 Pm 0.887 0.250 0.580
7 Pm 0.282 0.887 0.580
8 Pm 0.750 0.718 0.420
9 Nd 0.461 0.901 0.875
10 Nd 0.099 0.238 0.125
11 Nd 0.238 0.539 0.125
12 Nd 0.762 0.461 0.875
13 Nd 0.901 0.762 0.875
14 Nd 0.539 0.099 0.125
15 Y 0.000 0.000 0.000

Results
- energy relative to the elements (eV/atom) = 0.11
- ΔE to the lowest computed polymorph (meV/atom) = 0
- symmetry = R-3, No. 148
- total energy (eV/cell) = -71.39